[1]
The following is a DFT calculation (GGA-PBE) of crystalline Ho2ZrSc at its relaxed geometry.

The space group is Fm-3m (No. 225) and the conventional cell measures 7.581, 7.581 and 7.581 Å, with angles of 90.00, 90.00 and 90.00 degrees. The distinct sites, in fractional coordinates, are Ho at (0.250, 0.250, 0.250), Zr at (0.000, 0.000, 0.000) and Sc at (0.000, 0.000, 0.500).

The value obtained for the mass density is 7.1 g/cm3. The electronic total energy comes out at -5.82 eV per atom.

***

[2]
The following is a DFT calculation (GGA-PBE) of crystalline K2ZrHgSe at its relaxed geometry.

The space group is P4/mmm (No. 123) and the conventional cell measures 6.334, 6.334 and 5.399 Å, with angles of 90.00, 90.00 and 90.00 degrees. The distinct sites, in fractional coordinates, are K at (0.000, 0.500, 0.000), Zr at (0.000, 0.000, 0.500), Hg at (0.500, 0.500, 0.500) and Se at (0.500, 0.500, 0.000).

As for the uncorrected formation energy: 2.54 eV/f.u. The value obtained for the mass density is 3.4 g/cm3.

***

[3]
The following is a DFT calculation (GGA-PBE) of crystalline ZnSI at its relaxed geometry.

The space group is P-1 (No. 2) and the conventional cell measures 3.957, 4.212 and 11.966 Å, with angles of 90.31, 93.07 and 100.06 degrees. The distinct sites, in fractional coordinates, are Zn at (0.066, 0.038, 0.174), S at (0.431, 0.848, 0.928) and I at (0.054, 0.549, 0.311).

As for the uncorrected formation energy: -1.33 eV/f.u. The value obtained for the mass density is 3.8 g/cm3.

***

[4]
The following is a DFT calculation (GGA-PBE) of crystalline Pa3TeS3 at its relaxed geometry.

The space group is R-3 (No. 148, hexagonal axes) and the conventional cell measures 7.7957, 7.7957 and 21.4975 Å, with angles of 90.00, 90.00 and 120.00 degrees. The distinct sites, in fractional coordinates, are Pa at (0.0094, 0.6096, 0.3993), Te at (0.0000, 0.0000, 0.1649) and S at (0.0085, 0.7523, 0.6069).

As for the uncorrected formation energy: -8.15 eV/f.u. The value obtained for the mass density is 8.1 g/cm3.

***

[5]
The following is a DFT calculation (GGA-PBE) of crystalline SrNiB2Ir at its relaxed geometry.

The space group is I-4m2 (No. 119) and the conventional cell measures 3.738, 3.738 and 10.892 Å, with angles of 90.00, 90.00 and 90.00 degrees. The distinct sites, in fractional coordinates, are Sr at (0.000, 0.000, 0.000), Ni at (0.000, 0.500, 0.750), B at (0.000, 0.000, 0.335) and Ir at (0.000, 0.500, 0.250).

The value obtained for the mass density is 7.9 g/cm3. The electronic total energy comes out at -6.33 eV per atom.

***

[6]
The following is a DFT calculation (GGA-PBE) of crystalline CaHf5N6 at its relaxed geometry.

The space group is C2/m (No. 12) and the conventional cell measures 5.607, 9.692 and 5.621 Å, with angles of 90.00, 109.52 and 90.00 degrees. The distinct sites, in fractional coordinates, are Ca at (0.000, 0.000, 0.000), Hf at (0.000, 0.163, 0.500), Hf at (0.000, 0.334, 0.000), Hf at (0.000, 0.500, 0.500), N at (0.241, 0.328, 0.740) and N at (0.241, 0.500, 0.253).

As for the uncorrected formation energy: -20.40 eV/f.u. The value obtained for the mass density is 11.7 g/cm3.

***

[7]
The following is a DFT calculation (GGA-PBE) of crystalline CoTcBr2 at its relaxed geometry.

The space group is I-42d (No. 122) and the conventional cell measures 5.667, 5.667 and 10.699 Å, with angles of 90.00, 90.00 and 90.00 degrees. The distinct sites, in fractional coordinates, are Co at (0.000, 0.000, 0.000), Tc at (0.000, 0.000, 0.500) and Br at (0.233, 0.250, 0.125).

As for the uncorrected formation energy: 3.26 eV/f.u. The value obtained for the mass density is 6.1 g/cm3.

***

[8]
The following is a DFT calculation (GGA-PBE) of crystalline CsK2BeRu at its relaxed geometry.

The space group is P4/mmm (No. 123) and the conventional cell measures 6.384, 6.384 and 4.451 Å, with angles of 90.00, 90.00 and 90.00 degrees. The distinct sites, in fractional coordinates, are Cs at (0.000, 0.000, 0.000), K at (0.000, 0.500, 0.500), Be at (0.500, 0.500, 0.000) and Ru at (0.500, 0.500, 0.500).

The value obtained for the mass density is 2.9 g/cm3. The electronic total energy comes out at -2.38 eV per atom.

***

[9]
The following is a DFT calculation (GGA-PBE) of crystalline Li5Br2N at its relaxed geometry.

The space group is Pnma (No. 62) and the conventional cell measures 7.959, 5.868 and 12.121 Å, with angles of 90.00, 90.00 and 90.00 degrees. The distinct sites, in fractional coordinates, are Li at (0.000, 0.000, 0.000), Li at (0.060, 0.250, 0.194), Li at (0.178, 0.524, 0.584), Li at (0.249, 0.250, 0.898), Br at (0.060, 0.250, 0.731), Br at (0.132, 0.250, 0.408) and N at (0.154, 0.250, 0.048).

As for the uncorrected formation energy: -7.39 eV/f.u. The value obtained for the mass density is 2.4 g/cm3.

***

[10]
The following is a DFT calculation (GGA-PBE) of crystalline ThMgPdPb at its relaxed geometry.

The space group is F-43m (No. 216) and the conventional cell measures 7.303, 7.303 and 7.303 Å, with angles of 90.00, 90.00 and 90.00 degrees. The distinct sites, in fractional coordinates, are Th at (0.000, 0.000, 0.000), Mg at (0.000, 0.000, 0.500), Pd at (0.250, 0.250, 0.750) and Pb at (0.250, 0.250, 0.250).

The value obtained for the mass density is 9.7 g/cm3. The electronic total energy comes out at -4.85 eV per atom.

***

[11]
The following is a DFT calculation (GGA-PBE) of crystalline Na4Pa3AuS8 at its relaxed geometry.

The space group is C2/m (No. 12) and the conventional cell measures 13.908, 7.790 and 8.197 Å, with angles of 90.00, 124.11 and 90.00 degrees. The distinct sites, in fractional coordinates, are Na at (0.000, 0.000, 0.000), Na at (0.000, 0.500, 0.000), Na at (0.250, 0.250, 0.000), Pa at (0.000, 0.000, 0.500), Pa at (0.250, 0.250, 0.500), Au at (0.000, 0.500, 0.500), S at (0.010, 0.248, 0.273), S at (0.240, 0.000, 0.730) and S at (0.242, 0.000, 0.259).

As for the uncorrected formation energy: -20.26 eV/f.u. The value obtained for the mass density is 5.6 g/cm3.

***

[12]
The following is a DFT calculation (GGA-PBE) of crystalline CaCrCl2 at its relaxed geometry.

The space group is Pmmm (No. 47) and the conventional cell measures 3.670, 4.138 and 6.243 Å, with angles of 90.00, 90.00 and 90.00 degrees. The distinct sites, in fractional coordinates, are Ca at (0.000, 0.000, 0.000), Cr at (0.500, 0.000, 0.500), Cl at (0.000, 0.500, 0.500) and Cl at (0.500, 0.500, 0.000).

As for the uncorrected formation energy: -2.91 eV/f.u. The value obtained for the mass density is 2.9 g/cm3.

***

[13]
The following is a DFT calculation (GGA-PBE) of crystalline TePPt2 at its relaxed geometry.

The space group is F-43m (No. 216) and the conventional cell measures 6.597, 6.597 and 6.597 Å, with angles of 90.00, 90.00 and 90.00 degrees. The distinct sites, in fractional coordinates, are Te at (0.000, 0.000, 0.000), P at (0.250, 0.250, 0.750), Pt at (0.000, 0.000, 0.500) and Pt at (0.250, 0.250, 0.250).

As for the uncorrected formation energy: 1.71 eV/f.u. The value obtained for the mass density is 12.7 g/cm3.

***

[14]
The following is a DFT calculation (GGA-PBE) of crystalline Ti3Mo2Pt at its relaxed geometry.

The space group is P4/mmm (No. 123) and the conventional cell measures 3.185, 3.185 and 9.358 Å, with angles of 90.00, 90.00 and 90.00 degrees. The distinct sites, in fractional coordinates, are Ti at (0.000, 0.000, 0.000), Ti at (0.000, 0.000, 0.329), Mo at (0.500, 0.500, 0.168) and Pt at (0.500, 0.500, 0.500).

The value obtained for the mass density is 9.3 g/cm3. The electronic total energy comes out at -9.00 eV per atom.

***

[15]
The following is a DFT calculation (GGA-PBE) of crystalline Pm2POs at its relaxed geometry.

The space group is P4/mmm (No. 123) and the conventional cell measures 4.910, 4.910 and 3.647 Å, with angles of 90.00, 90.00 and 90.00 degrees. The distinct sites, in fractional coordinates, are Pm at (0.000, 0.500, 0.000), P at (0.000, 0.000, 0.500) and Os at (0.500, 0.500, 0.500).

The value obtained for the mass density is 9.7 g/cm3. The electronic total energy comes out at -6.94 eV per atom.

***

[16]
The following is a DFT calculation (GGA-PBE) of crystalline NaTmIn at its relaxed geometry.

The space group is P-6m2 (No. 187) and the conventional cell measures 5.2445, 5.2445 and 3.3667 Å, with angles of 90.00, 90.00 and 120.00 degrees. The distinct sites, in fractional coordinates, are Na at (0.0000, 0.0000, 0.0000), Tm at (0.3333, 0.6667, 0.5000) and In at (0.6667, 0.3333, 0.0000).

The value obtained for the mass density is 6.4 g/cm3. The electronic total energy comes out at -2.92 eV per atom.

***

[17]
The following is a DFT calculation (GGA-PBE) of crystalline Cs2AlCd at its relaxed geometry.

The space group is I-42d (No. 122) and the conventional cell measures 10.399, 10.399 and 7.622 Å, with angles of 90.00, 90.00 and 90.00 degrees. The distinct sites, in fractional coordinates, are Cs at (0.250, 0.250, 0.375), Al at (0.000, 0.000, 0.000) and Cd at (0.000, 0.000, 0.500).

The value obtained for the mass density is 3.3 g/cm3. The electronic total energy comes out at -1.13 eV per atom.

***

[18]
The following is a DFT calculation (GGA-PBE) of crystalline TbZn5CuNi2 at its relaxed geometry.

The space group is P4/mmm (No. 123) and the conventional cell measures 4.591, 4.591 and 6.946 Å, with angles of 90.00, 90.00 and 90.00 degrees. The distinct sites, in fractional coordinates, are Tb at (0.000, 0.000, 0.000), Zn at (0.000, 0.500, 0.300), Zn at (0.500, 0.500, 0.000), Cu at (0.000, 0.000, 0.500) and Ni at (0.500, 0.500, 0.334).

The value obtained for the mass density is 7.6 g/cm3. The electronic total energy comes out at -3.02 eV per atom.

***

[19]
The following is a DFT calculation (GGA-PBE) of crystalline OsPtPb4 at its relaxed geometry.

The space group is F-43m (No. 216) and the conventional cell measures 8.643, 8.643 and 8.643 Å, with angles of 90.00, 90.00 and 90.00 degrees. The distinct sites, in fractional coordinates, are Os at (0.000, 0.000, 0.000), Pt at (0.250, 0.250, 0.250) and Pb at (0.125, 0.125, 0.625).

The value obtained for the mass density is 12.5 g/cm3. The electronic total energy comes out at -4.04 eV per atom.

***

[20]
The following is a DFT calculation (GGA-PBE) of crystalline LiCeScNi at its relaxed geometry.

The space group is F-43m (No. 216) and the conventional cell measures 6.799, 6.799 and 6.799 Å, with angles of 90.00, 90.00 and 90.00 degrees. The distinct sites, in fractional coordinates, are Li at (0.000, 0.000, 0.000), Ce at (0.250, 0.250, 0.250), Sc at (0.250, 0.250, 0.750) and Ni at (0.000, 0.000, 0.500).

The value obtained for the mass density is 5.3 g/cm3. The electronic total energy comes out at -5.02 eV per atom.

***

[21]
The following is a DFT calculation (GGA-PBE) of crystalline Ga2PdRh at its relaxed geometry.

The space group is P4/mmm (No. 123) and the conventional cell measures 4.131, 4.131 and 3.406 Å, with angles of 90.00, 90.00 and 90.00 degrees. The distinct sites, in fractional coordinates, are Ga at (0.000, 0.500, 0.000), Pd at (0.000, 0.000, 0.500) and Rh at (0.500, 0.500, 0.500).

The value obtained for the mass density is 10.0 g/cm3. The electronic total energy comes out at -5.24 eV per atom.

***

[22]
The following is a DFT calculation (GGA-PBE) of crystalline NiW at its relaxed geometry.

The space group is I4/m (No. 87) and the conventional cell measures 9.418, 9.418 and 2.601 Å, with angles of 90.00, 90.00 and 90.00 degrees. The distinct sites, in fractional coordinates, are Ni at (0.082, 0.843, 0.000) and W at (0.118, 0.348, 0.000).

The value obtained for the mass density is 14.0 g/cm3. The electronic total energy comes out at -8.94 eV per atom.

***

[23]
The following is a DFT calculation (GGA-PBE) of crystalline KMg2Pd at its relaxed geometry.

The space group is Fm-3m (No. 225) and the conventional cell measures 7.174, 7.174 and 7.174 Å, with angles of 90.00, 90.00 and 90.00 degrees. The distinct sites, in fractional coordinates, are K at (0.000, 0.000, 0.000), Mg at (0.250, 0.250, 0.250) and Pd at (0.000, 0.000, 0.500).

The value obtained for the mass density is 3.5 g/cm3. The electronic total energy comes out at -2.32 eV per atom.

***

[24]
The following is a DFT calculation (GGA-PBE) of crystalline BaLa2Pb at its relaxed geometry.

The space group is P2/m (No. 10) and the conventional cell measures 3.836, 5.974 and 6.545 Å, with angles of 90.00, 96.35 and 90.00 degrees. The distinct sites, in fractional coordinates, are Ba at (0.000, 0.000, 0.000), La at (0.295, 0.500, 0.715) and Pb at (0.500, 0.000, 0.500).

The value obtained for the mass density is 6.9 g/cm3. The electronic total energy comes out at -4.06 eV per atom.

***

[25]
The following is a DFT calculation (GGA-PBE) of crystalline Nd6SmAl2 at its relaxed geometry.

The space group is C2/m (No. 12) and the conventional cell measures 12.956, 3.816 and 12.085 Å, with angles of 90.00, 109.44 and 90.00 degrees. The distinct sites, in fractional coordinates, are Nd at (0.024, 0.000, 0.326), Nd at (0.187, 0.500, 0.876), Nd at (0.189, 0.500, 0.590), Sm at (0.000, 0.000, 0.000) and Al at (0.149, 0.500, 0.201).

The value obtained for the mass density is 6.3 g/cm3. The electronic total energy comes out at -4.67 eV per atom.